# RbCe4Pt3S12 (PBE, optimized geometry)
# Total DFT energy (no corrections): -0.421 Ry/atom
# M_tot: 0.001 μB/f.u.
data_RbCe4Pt3S12
_symmetry_space_group_name_H-M 'I m -3'
_symmetry_Int_Tables_number 204
_symmetry_space_group_name_Hall '-I 2 2 3'
_cell_length_a 9.949
_cell_length_b 9.949
_cell_length_c 9.949
_cell_angle_alpha 90.00
_cell_angle_beta 90.00
_cell_angle_gamma 90.00
loop_
_atom_site_label
_atom_site_fract_x
_atom_site_fract_y
_atom_site_fract_z
Rb1 0.000 0.000 0.000
Ce1 0.250 0.250 0.250
Pt1 0.000 0.000 0.500
S1 0.000 0.160 0.327

# CaEuLu (PBE, optimized geometry)
# Total DFT energy (no corrections): -0.403 Ry/atom
# Energy above the lowest structure with this stoichiometry: 0 meV per atom
# M_tot: 8.284 μB/f.u.
# Formation energy from the elements: 115.8 meV/atom
data_CaEuLu
_symmetry_space_group_name_H-M 'I 4 m m'
_symmetry_Int_Tables_number 107
_symmetry_space_group_name_Hall 'I 4 -2'
_cell_length_a 3.704
_cell_length_b 3.704
_cell_length_c 16.149
_cell_angle_alpha 90.00
_cell_angle_beta 90.00
_cell_angle_gamma 90.00
loop_
_atom_site_label
_atom_site_fract_x
_atom_site_fract_y
_atom_site_fract_z
Ca1 0.000 0.000 0.000
Eu1 0.000 0.000 0.316
Lu1 0.000 0.000 0.662

# Li3Mg2Pd2 (PBE, optimized geometry)
# Total DFT energy (no corrections): -0.228 Ry/atom
# Energy above the lowest structure with this stoichiometry: 67 meV per atom
# M_tot: 0.000 μB/f.u.
# Formation energy from the elements: -348.0 meV/atom
data_Li3Mg2Pd2
_symmetry_space_group_name_H-M 'P m m m'
_symmetry_Int_Tables_number 47
_cell_length_a 2.869
_cell_length_b 4.753
_cell_length_c 8.627
_cell_angle_alpha 90.00
_cell_angle_beta 90.00
_cell_angle_gamma 90.00
loop_
_symmetry_equiv_pos_as_xyz
'x,y,z'
'-x,-y,-z'
'-x,-y,z'
'x,y,-z'
'x,-y,-z'
'-x,y,z'
'-x,y,-z'
'x,-y,z'
loop_
_atom_site_label
_atom_site_fract_x
_atom_site_fract_y
_atom_site_fract_z
Li1 0.000 0.000 0.000
Li2 0.000 0.238 0.500
Mg1 0.000 0.500 0.200
Pd1 0.500 0.000 0.264

# Ti2Cu3Pd (PBE, optimized geometry)
# Total DFT energy (no corrections): -0.409 Ry/atom
# Energy above the lowest structure with this stoichiometry: 195 meV per atom
# M_tot: 0.000 μB/f.u.
# Formation energy from the elements: -20.7 meV/atom
data_Ti2Cu3Pd
_symmetry_space_group_name_H-M 'C 1 2/c 1'
_symmetry_Int_Tables_number 15
_cell_length_a 7.333
_cell_length_b 9.120
_cell_length_c 5.356
_cell_angle_alpha 90.00
_cell_angle_beta 103.58
_cell_angle_gamma 90.00
loop_
_symmetry_equiv_pos_as_xyz
'x,y,z'
'-x,-y,-z'
'-x,y,-z+1/2'
'x,-y,z+1/2'
'x+1/2,y+1/2,z'
'-x+1/2,-y+1/2,-z'
'-x+1/2,y+1/2,-z+1/2'
'x+1/2,-y+1/2,z+1/2'
loop_
_atom_site_label
_atom_site_fract_x
_atom_site_fract_y
_atom_site_fract_z
Ti1 0.155 0.223 0.184
Cu1 0.000 0.327 0.750
Cu2 0.165 0.464 0.460
Pd1 0.000 0.044 0.750